Compound: As2WSeBr
Source: the Alexandria database
Functional: PBE
Structure: optimized geometry

Structure (POSCAR):
```
As2WSeBr
1.0
4.972 0.000 0.000
0.000 4.972 0.000
0.000 0.000 4.857
As W Se Br
2 1 1 1
direct
0.000 0.500 0.000
0.500 0.000 0.000
0.000 0.000 0.000
0.500 0.500 0.500
0.000 0.000 0.500
```

## Properties
Total DFT energy (no corrections): -4.885 eV per atom
DOS at the Fermi energy: 5.0 states/eV/f.u.
Raw formation energy: 597 meV per atom
Calculated volume: 120.1 Å³/cell